[1]
! PBE Sr2Ti6N2O11, optimized geometry; values from VASP
&SYSTEM
  ibrav = 0, nat = 21, ntyp = 4
/
ATOMIC_SPECIES
O 16.00 O.upf
Ti 47.87 Ti.upf
N 14.01 N.upf
Sr 87.62 Sr.upf
ATOMIC_POSITIONS crystal
O 0.999 0.999 0.984
Ti 0.776 0.776 0.761
N 0.933 0.933 0.282
O 0.154 0.154 0.100
N 0.877 0.877 0.614
O 0.127 0.127 0.387
O 0.754 0.754 0.236
Sr 0.550 0.550 0.254
O 0.635 0.635 0.890
O 0.354 0.354 0.110
Ti 0.120 0.120 0.909
O 0.295 0.295 0.420
Ti 0.887 0.887 0.109
Sr 0.455 0.455 0.774
O 0.701 0.701 0.569
Ti 0.236 0.236 0.229
Ti 0.168 0.168 0.563
O 0.838 0.838 0.907
O 0.237 0.237 0.758
Ti 0.836 0.836 0.440
O 0.070 0.070 0.703
CELL_PARAMETERS angstrom
7.911 -0.001 0.025
6.991 3.703 0.025
1.467 0.364 9.206
! crystal system	monoclinic
! magnetic moment	0.00	Bohr magnetons per cell
! VASP energy	-179.843	eV per formula unit
! ΔE to the lowest computed polymorph	32.0	meV per atom



[2]
! PBE NdGaSb, optimized geometry; values from VASP
&SYSTEM
  ibrav = 0, nat = 3, ntyp = 3
/
ATOMIC_SPECIES
Ga 69.72 Ga.upf
Sb 121.76 Sb.upf
Nd 144.24 Nd.upf
ATOMIC_POSITIONS crystal
Ga 0.108 0.000 0.000
Sb 0.209 0.333 0.667
Nd 0.684 0.667 0.333
CELL_PARAMETERS angstrom
-0.385 -3.265 2.397
4.085 -1.742 -1.716
0.039 2.815 3.840
! crystal system	trigonal
! magnetic moment	0.00	Bohr magnetons per cell
! VASP energy	-13.632	eV per formula unit
! ΔE to the lowest computed polymorph	0.0	meV per atom



[3]
! PBE TaNiGePtAu, optimized geometry; values from VASP
&SYSTEM
  ibrav = 0, nat = 10, ntyp = 5
/
ATOMIC_SPECIES
Ge 72.64 Ge.upf
Au 196.97 Au.upf
Pt 195.08 Pt.upf
Ta 180.95 Ta.upf
Ni 58.69 Ni.upf
ATOMIC_POSITIONS crystal
Ge 0.685 0.500 0.396
Au 0.060 0.500 0.275
Pt 0.900 0.000 0.567
Ta 0.461 0.000 0.147
Pt 0.900 0.500 0.067
Ta 0.461 0.500 0.647
Ni 0.307 0.500 0.957
Au 0.060 0.000 0.775
Ge 0.685 0.000 0.896
Ni 0.307 0.000 0.457
CELL_PARAMETERS angstrom
-3.082 2.559 1.644
-1.179 0.229 -2.569
-4.936 -12.428 1.157
! crystal system	monoclinic
! magnetic moment	0.00	Bohr magnetons per cell
! VASP energy	-32.510	eV per formula unit
! ΔE to the lowest computed polymorph	43.9	meV per atom



[4]
! PBE ErTm2Se, optimized geometry; values from VASP
&SYSTEM
  ibrav = 0, nat = 4, ntyp = 3
/
ATOMIC_SPECIES
Tm 168.93 Tm.upf
Se 78.96 Se.upf
Er 167.26 Er.upf
ATOMIC_POSITIONS crystal
Tm 0.892 0.892 0.323
Se 0.500 0.500 0.500
Tm 0.108 0.108 0.677
Er 0.000 0.000 0.000
CELL_PARAMETERS angstrom
3.635 0.000 0.000
1.818 3.148 0.000
1.818 1.049 10.302
! crystal system	trigonal
! magnetic moment	0.38	Bohr magnetons per cell
! VASP energy	-18.963	eV per formula unit
! ΔE to the lowest computed polymorph	296.2	meV per atom



[5]
! PBE K4PmY3Se8, optimized geometry; values from VASP
&SYSTEM
  ibrav = 0, nat = 16, ntyp = 4
/
ATOMIC_SPECIES
Pm 145.00 Pm.upf
Se 78.96 Se.upf
K 39.10 K.upf
Y 88.91 Y.upf
ATOMIC_POSITIONS crystal
Pm 0.000 0.500 0.000
Se 0.265 0.295 0.530
K 0.500 0.000 0.000
K 0.000 0.000 0.500
Se 0.762 0.293 0.031
Se 0.238 0.707 0.477
K 0.500 0.000 0.500
K 0.000 0.000 0.000
Se 0.730 0.707 0.969
Se 0.735 0.705 0.470
Y 0.500 0.500 0.000
Y 0.500 0.500 0.500
Se 0.762 0.293 0.523
Se 0.238 0.707 0.969
Y 0.000 0.500 0.500
Se 0.270 0.293 0.031
CELL_PARAMETERS angstrom
8.486 0.000 0.000
0.000 9.108 0.431
-4.243 -4.239 6.004
! crystal system	trigonal
! magnetic moment	0.00	Bohr magnetons per cell
! VASP energy	-84.702	eV per formula unit



[6]
! PBE Mg5Sc6Ag, optimized geometry; values from VASP
&SYSTEM
  ibrav = 0, nat = 12, ntyp = 3
/
ATOMIC_SPECIES
Sc 44.96 Sc.upf
Mg 24.30 Mg.upf
Ag 107.87 Ag.upf
ATOMIC_POSITIONS crystal
Sc 0.163 0.247 0.675
Sc 0.163 0.753 0.675
Mg 0.668 0.500 0.664
Mg 0.000 0.500 0.000
Sc 0.500 0.243 0.000
Sc 0.837 0.753 0.325
Mg 0.332 0.500 0.336
Sc 0.837 0.247 0.325
Mg 0.672 0.000 0.656
Sc 0.500 0.757 0.000
Ag 0.000 0.000 0.000
Mg 0.328 0.000 0.344
CELL_PARAMETERS angstrom
-4.611 1.822 1.004
0.225 -2.961 6.403
0.811 7.244 3.321
! crystal system	orthorhombic
! magnetic moment	0.00	Bohr magnetons per cell
! VASP energy	-49.645	eV per formula unit



[7]
! PBE NaYbO2, optimized geometry; values from VASP
&SYSTEM
  ibrav = 0, nat = 8, ntyp = 3
/
ATOMIC_SPECIES
Na 22.99 Na.upf
Yb 173.04 Yb.upf
O 16.00 O.upf
ATOMIC_POSITIONS crystal
Na 0.500 0.500 0.000
Yb 0.000 0.000 0.000
Na 0.750 0.250 0.500
O 0.021 0.521 0.043
O 0.479 0.979 0.957
O 0.229 0.229 0.457
Yb 0.250 0.750 0.500
O 0.771 0.771 0.543
CELL_PARAMETERS angstrom
4.723 0.000 0.000
0.000 4.723 0.000
-2.361 -2.361 4.888
! crystal system	tetragonal
! magnetic moment	2.00	Bohr magnetons per cell
! VASP energy	-20.858	eV per formula unit



[8]
! PBE TaHgO3, optimized geometry; values from VASP
&SYSTEM
  ibrav = 0, nat = 20, ntyp = 3
/
ATOMIC_SPECIES
O 16.00 O.upf
Ta 180.95 Ta.upf
Hg 200.59 Hg.upf
ATOMIC_POSITIONS crystal
O 0.926 0.951 0.845
O 0.426 0.549 0.155
O 0.074 0.049 0.155
O 0.085 0.232 0.703
O 0.921 0.365 0.057
Ta 0.242 0.864 0.907
O 0.415 0.732 0.703
Ta 0.758 0.136 0.093
O 0.079 0.635 0.943
O 0.421 0.135 0.943
O 0.574 0.451 0.845
O 0.579 0.865 0.057
Ta 0.742 0.636 0.093
O 0.585 0.268 0.297
Hg 0.710 0.091 0.586
Ta 0.258 0.364 0.907
Hg 0.790 0.591 0.586
O 0.915 0.768 0.297
Hg 0.210 0.409 0.414
Hg 0.290 0.909 0.414
CELL_PARAMETERS angstrom
5.075 0.000 0.000
0.000 7.404 -0.213
0.000 -3.210 8.006
! crystal system	monoclinic
! magnetic moment	0.00	Bohr magnetons per cell
! VASP energy	-36.993	eV per formula unit



[9]
! PBE K2Ce2MnS6, optimized geometry; values from VASP
&SYSTEM
  ibrav = 0, nat = 11, ntyp = 4
/
ATOMIC_SPECIES
S 32.06 S.upf
K 39.10 K.upf
Ce 140.12 Ce.upf
Mn 54.94 Mn.upf
ATOMIC_POSITIONS crystal
S 0.388 0.061 0.693
S 0.751 0.751 0.687
K 0.165 0.835 0.000
Ce 0.334 0.666 0.500
S 0.939 0.612 0.307
S 0.061 0.388 0.693
K 0.835 0.165 0.000
Ce 0.666 0.334 0.500
S 0.612 0.939 0.307
S 0.249 0.249 0.313
Mn 0.000 0.000 0.500
CELL_PARAMETERS angstrom
6.889 -0.031 0.076
-3.432 5.973 0.076
-1.213 -2.085 7.436
! crystal system	monoclinic
! magnetic moment	5.14	Bohr magnetons per cell
! VASP energy	-63.909	eV per formula unit



[10]
! PBE Ho3Pd6Au, optimized geometry; values from VASP
&SYSTEM
  ibrav = 0, nat = 20, ntyp = 3
/
ATOMIC_SPECIES
Pd 106.42 Pd.upf
Au 196.97 Au.upf
Ho 164.93 Ho.upf
ATOMIC_POSITIONS crystal
Pd 0.094 0.732 0.268
Pd 0.924 0.959 0.545
Au 0.072 0.172 0.828
Ho 0.605 0.626 0.374
Pd 0.274 0.980 0.020
Pd 0.924 0.455 0.041
Ho 0.462 0.289 0.077
Pd 0.585 0.585 0.682
Ho 0.962 0.077 0.289
Pd 0.424 0.545 0.959
Pd 0.594 0.268 0.732
Pd 0.085 0.682 0.585
Au 0.572 0.828 0.172
Ho 0.962 0.711 0.923
Pd 0.774 0.020 0.980
Pd 0.585 0.318 0.415
Ho 0.105 0.374 0.626
Ho 0.462 0.923 0.711
Pd 0.085 0.415 0.318
Pd 0.424 0.041 0.455
CELL_PARAMETERS angstrom
-4.741 -1.737 -0.240
0.841 -3.444 8.298
-3.129 8.410 0.947
! crystal system	orthorhombic
! magnetic moment	0.00	Bohr magnetons per cell
! VASP energy	-55.162	eV per formula unit



[11]
! PBE PaTcIr, optimized geometry; values from VASP
&SYSTEM
  ibrav = 0, nat = 3, ntyp = 3
/
ATOMIC_SPECIES
Tc 98.00 Tc.upf
Ir 192.22 Ir.upf
Pa 231.04 Pa.upf
ATOMIC_POSITIONS crystal
Tc 0.167 0.667 0.333
Ir 0.167 0.000 0.000
Pa 0.666 0.333 0.667
CELL_PARAMETERS angstrom
3.741 0.000 0.000
0.000 4.331 0.000
0.000 -2.165 3.751
! crystal system	hexagonal
! magnetic moment	0.43	Bohr magnetons per cell
! VASP energy	-29.207	eV per formula unit
! ΔE to the lowest computed polymorph	0.0	meV per atom



[12]
! PBE Nb3AlTc4, optimized geometry; values from VASP
&SYSTEM
  ibrav = 0, nat = 16, ntyp = 3
/
ATOMIC_SPECIES
Tc 98.00 Tc.upf
Al 26.98 Al.upf
Nb 92.91 Nb.upf
ATOMIC_POSITIONS crystal
Tc 0.500 0.750 0.500
Al 0.000 0.500 0.000
Nb 0.000 0.000 0.000
Tc 0.000 0.250 0.250
Nb 0.500 0.000 0.750
Nb 0.500 0.000 0.250
Nb 0.500 0.500 0.250
Nb 0.000 0.000 0.500
Tc 0.500 0.750 0.000
Tc 0.000 0.250 0.750
Tc 0.500 0.250 0.500
Al 0.000 0.500 0.500
Nb 0.500 0.500 0.750
Tc 0.000 0.750 0.250
Tc 0.000 0.750 0.750
Tc 0.500 0.250 0.000
CELL_PARAMETERS angstrom
4.473 0.000 0.000
0.000 6.323 0.000
0.000 0.000 8.946
! crystal system	tetragonal
! magnetic moment	0.00	Bohr magnetons per cell
! VASP energy	-78.197	eV per formula unit



[13]
! PBE CsBa2PaO5, optimized geometry; values from VASP
&SYSTEM
  ibrav = 0, nat = 9, ntyp = 4
/
ATOMIC_SPECIES
O 16.00 O.upf
Ba 137.33 Ba.upf
Pa 231.04 Pa.upf
Cs 132.91 Cs.upf
ATOMIC_POSITIONS crystal
O 0.000 0.000 0.000
Ba 0.226 0.226 0.452
Ba 0.774 0.774 0.548
O 0.368 0.080 0.737
O 0.632 0.343 0.263
O 0.632 0.920 0.263
Pa 0.500 0.000 0.000
Cs 0.000 0.500 0.000
O 0.368 0.657 0.737
CELL_PARAMETERS angstrom
-2.405 -1.661 3.425
5.742 -1.488 3.311
-1.750 7.207 -0.694
! crystal system	orthorhombic
! magnetic moment	0.00	Bohr magnetons per cell
! VASP energy	-65.076	eV per formula unit



[14]
! PBE BaSc2Cu, optimized geometry; values from VASP
&SYSTEM
  ibrav = 0, nat = 4, ntyp = 3
/
ATOMIC_SPECIES
Sc 44.96 Sc.upf
Ba 137.33 Ba.upf
Cu 63.55 Cu.upf
ATOMIC_POSITIONS crystal
Sc 0.000 0.000 0.912
Ba 0.500 0.500 0.250
Sc 0.000 0.000 0.588
Cu 0.500 0.500 0.750
CELL_PARAMETERS angstrom
3.424 -0.017 0.000
0.019 3.424 0.000
0.000 0.000 9.145
! crystal system	tetragonal
! magnetic moment	0.00	Bohr magnetons per cell
! VASP energy	-18.226	eV per formula unit
! ΔE to the lowest computed polymorph	17.0	meV per atom



[15]
! PBE Dy8Er6Zr, optimized geometry; values from VASP
&SYSTEM
  ibrav = 0, nat = 15, ntyp = 3
/
ATOMIC_SPECIES
Dy 162.50 Dy.upf
Zr 91.22 Zr.upf
Er 167.26 Er.upf
ATOMIC_POSITIONS crystal
Dy 0.765 0.729 0.781
Dy 0.235 0.271 0.219
Dy 0.765 0.052 0.271
Zr 0.500 0.000 0.000
Er 0.748 0.473 0.380
Er 0.252 0.527 0.620
Er 0.252 0.093 0.473
Dy 0.763 0.333 0.667
Er 0.748 0.620 0.093
Dy 0.235 0.948 0.729
Dy 0.237 0.667 0.333
Dy 0.235 0.781 0.052
Er 0.748 0.907 0.527
Er 0.252 0.380 0.907
Dy 0.765 0.219 0.948
CELL_PARAMETERS angstrom
5.736 0.000 0.000
0.000 8.403 -4.852
0.000 0.000 9.703
! crystal system	trigonal
! magnetic moment	0.01	Bohr magnetons per cell
! VASP energy	-70.418	eV per formula unit



[16]
! PBE PmPrDyN3, optimized geometry; values from VASP
&SYSTEM
  ibrav = 0, nat = 12, ntyp = 4
/
ATOMIC_SPECIES
N 14.01 N.upf
Pr 140.91 Pr.upf
Pm 145.00 Pm.upf
Dy 162.50 Dy.upf
ATOMIC_POSITIONS crystal
N 0.750 0.244 0.511
Pr 0.250 0.348 0.305
Pm 0.250 0.769 0.047
Pm 0.750 0.231 0.953
Dy 0.250 0.149 0.638
Pr 0.750 0.652 0.695
N 0.250 0.964 0.842
N 0.250 0.756 0.489
N 0.750 0.036 0.158
N 0.250 0.460 0.826
N 0.750 0.540 0.174
Dy 0.750 0.851 0.362
CELL_PARAMETERS angstrom
-1.513 0.602 -3.182
-5.261 -2.457 2.036
-1.103 8.914 2.210
! crystal system	monoclinic
! magnetic moment	0.00	Bohr magnetons per cell
! VASP energy	-47.073	eV per formula unit



[17]
! PBE PuNpZnO6, optimized geometry; values from VASP
&SYSTEM
  ibrav = 0, nat = 18, ntyp = 4
/
ATOMIC_SPECIES
O 16.00 O.upf
Pu 244.00 Pu.upf
Np 237.00 Np.upf
Zn 65.41 Zn.upf
ATOMIC_POSITIONS crystal
O 0.333 0.992 0.633
Pu 0.000 0.000 0.000
O 0.667 0.659 0.133
O 0.659 0.992 0.867
O 0.341 0.008 0.133
O 0.659 0.667 0.633
O 0.992 0.333 0.133
O 0.667 0.008 0.367
Np 0.333 0.667 0.750
O 0.341 0.333 0.367
Pu 0.000 0.000 0.500
Np 0.667 0.333 0.250
O 0.008 0.341 0.633
O 0.008 0.667 0.867
Zn 0.333 0.667 0.250
O 0.992 0.659 0.367
Zn 0.667 0.333 0.750
O 0.333 0.341 0.867
CELL_PARAMETERS angstrom
5.353 0.000 0.000
-2.676 4.635 0.000
0.000 0.000 9.869
! crystal system	trigonal
! magnetic moment	10.00	Bohr magnetons per cell
! VASP energy	-80.720	eV per formula unit



[18]
! PBE Mg2PbBr, optimized geometry; values from VASP
&SYSTEM
  ibrav = 0, nat = 4, ntyp = 3
/
ATOMIC_SPECIES
Pb 207.20 Pb.upf
Mg 24.30 Mg.upf
Br 79.90 Br.upf
ATOMIC_POSITIONS crystal
Pb 0.500 0.500 0.000
Mg 0.250 0.750 0.500
Mg 0.000 0.000 0.000
Br 0.750 0.250 0.500
CELL_PARAMETERS angstrom
-3.049 -1.322 5.473
0.089 -5.842 2.618
4.025 4.338 -2.445
! crystal system	tetragonal
! magnetic moment	0.00	Bohr magnetons per cell
! VASP energy	-9.105	eV per formula unit
! ΔE to the lowest computed polymorph	289.6	meV per atom



[19]
! PBE Zr4TcSe, optimized geometry; values from VASP
&SYSTEM
  ibrav = 0, nat = 6, ntyp = 3
/
ATOMIC_SPECIES
Zr 91.22 Zr.upf
Se 78.96 Se.upf
Tc 98.00 Tc.upf
ATOMIC_POSITIONS crystal
Zr 0.880 0.373 0.373
Se 0.750 0.750 0.750
Zr 0.373 0.373 0.880
Zr 0.373 0.373 0.373
Tc 0.000 0.000 0.000
Zr 0.373 0.880 0.373
CELL_PARAMETERS angstrom
0.000 3.976 3.976
3.976 0.000 3.976
3.976 3.976 0.000
! crystal system	cubic
! magnetic moment	0.00	Bohr magnetons per cell
! VASP energy	-44.962	eV per formula unit



[20]
! PBE SrLa2InOs, optimized geometry; values from VASP
&SYSTEM
  ibrav = 0, nat = 5, ntyp = 4
/
ATOMIC_SPECIES
La 138.91 La.upf
In 114.82 In.upf
Os 190.23 Os.upf
Sr 87.62 Sr.upf
ATOMIC_POSITIONS crystal
La 0.000 0.500 0.000
In 0.500 0.500 0.500
Os 0.000 0.000 0.000
Sr 0.000 0.000 0.500
La 0.500 0.000 0.000
CELL_PARAMETERS angstrom
5.490 0.000 0.000
0.000 5.490 0.000
0.000 0.000 5.924
! crystal system	tetragonal
! magnetic moment	0.00	Bohr magnetons per cell
! VASP energy	-25.833	eV per formula unit
! ΔE to the lowest computed polymorph	57.9	meV per atom



[21]
! PBE Dy6Si2SeS3, optimized geometry; values from VASP
&SYSTEM
  ibrav = 0, nat = 12, ntyp = 4
/
ATOMIC_SPECIES
Dy 162.50 Dy.upf
Si 28.09 Si.upf
S 32.06 S.upf
Se 78.96 Se.upf
ATOMIC_POSITIONS crystal
Dy 0.004 0.263 0.007
Dy 0.333 0.417 0.666
Si 0.833 0.667 0.667
Dy 0.667 0.583 0.334
Dy 0.670 0.092 0.340
S 0.164 0.836 0.328
Si 0.167 0.333 0.333
Dy 0.996 0.737 0.993
Dy 0.330 0.908 0.660
S 0.500 0.500 0.000
Se 0.500 0.000 0.000
S 0.836 0.164 0.672
CELL_PARAMETERS angstrom
4.022 0.000 0.000
0.000 8.048 0.328
-2.011 -2.282 8.444
! crystal system	monoclinic
! magnetic moment	0.00	Bohr magnetons per cell
! VASP energy	-73.319	eV per formula unit